[1]
# RbYSnBr6 PBE relaxed
# - Uncorrected formation energy: -1.513 eV/atom
# - VASP energy: -3.899 eV per atom
data_RbYSnBr6
_cell_length_a 7.5983
_cell_length_b 7.5983
_cell_length_c 7.5368
_cell_angle_alpha 90.00
_cell_angle_beta 90.00
_cell_angle_gamma 120.00
_symmetry_space_group_name_H-M 'P 3 1 2'
_symmetry_Int_Tables_number 149
_symmetry_space_group_name_Hall 'P 3 2'
loop_
_atom_site_label
_atom_site_type_symbol
_atom_site_fract_x
_atom_site_fract_y
_atom_site_fract_z
Rb1 Rb 0.0000 0.0000 0.0000
Y1 Y 0.3333 0.6667 0.5000
Sn1 Sn 0.6667 0.3333 0.5000
Br1 Br 0.0180 0.3793 0.2821


[2]
# Rb2YSnBr6 PBE relaxed
# - Uncorrected formation energy: -1.408 eV/atom
# - VASP energy: -3.652 eV per atom
data_Rb2YSnBr6
_cell_length_a 8.144
_cell_length_b 8.144
_cell_length_c 12.986
_cell_angle_alpha 90.00
_cell_angle_beta 90.00
_cell_angle_gamma 90.00
_symmetry_space_group_name_H-M 'I 4/m m m'
_symmetry_Int_Tables_number 139
_symmetry_space_group_name_Hall '-I 4 2'
loop_
_atom_site_label
_atom_site_type_symbol
_atom_site_fract_x
_atom_site_fract_y
_atom_site_fract_z
Rb1 Rb 0.000 0.500 0.250
Y1 Y 0.000 0.000 0.000
Sn1 Sn 0.000 0.000 0.500
Br1 Br 0.000 0.000 0.215
Br2 Br 0.243 0.243 0.000


[3]
# RbYSn2Br8 PBE relaxed
# - Uncorrected formation energy: -1.278 eV/atom
# - VASP energy: -3.680 eV per atom
data_RbYSn2Br8
_cell_length_a 6.822
_cell_length_b 7.333
_cell_length_c 9.448
_cell_angle_alpha 85.74
_cell_angle_beta 88.19
_cell_angle_gamma 87.40
_symmetry_space_group_name_H-M 'P -1'
_symmetry_Int_Tables_number 2
_symmetry_space_group_name_Hall '-P 1'
loop_
_atom_site_label
_atom_site_type_symbol
_atom_site_fract_x
_atom_site_fract_y
_atom_site_fract_z
Rb1 Rb 0.000 0.000 0.000
Y1 Y 0.000 0.000 0.500
Sn1 Sn 0.485 0.479 0.251
Br1 Br 0.228 0.319 0.470
Br2 Br 0.234 0.833 0.293
Br3 Br 0.258 0.861 0.714
Br4 Br 0.270 0.378 0.034


[4]
# Rb2ZnSnBr6 PBE relaxed
# - Uncorrected formation energy: -1.188 eV/atom
# - Energy relative to the lowest polymorph listed for this composition: 0.0000 eV/atom
# - VASP energy: -2.913 eV per atom
data_Rb2ZnSnBr6
_cell_length_a 7.9966
_cell_length_b 7.9966
_cell_length_c 23.9115
_cell_angle_alpha 90.00
_cell_angle_beta 90.00
_cell_angle_gamma 120.00
_symmetry_space_group_name_H-M 'R 3'
_symmetry_Int_Tables_number 146
_symmetry_space_group_name_Hall 'R 3'
loop_
_atom_site_label
_atom_site_type_symbol
_atom_site_fract_x
_atom_site_fract_y
_atom_site_fract_z
Rb1 Rb 0.0000 0.0000 0.0000
Rb2 Rb 0.0000 0.0000 0.4905
Zn1 Zn 0.0000 0.0000 0.2605
Sn1 Sn 0.0000 0.0000 0.7077
Br1 Br 0.0156 0.6078 0.4328
Br2 Br 0.0166 0.4027 0.9313


[5]
# Rb2ZnSnBr6 PBE relaxed
# - Uncorrected formation energy: -1.156 eV/atom
# - Energy relative to the lowest polymorph listed for this composition: 0.0322 eV/atom
# - VASP energy: -2.880 eV per atom
data_Rb2ZnSnBr6
_cell_length_a 11.160
_cell_length_b 11.160
_cell_length_c 11.160
_cell_angle_alpha 90.00
_cell_angle_beta 90.00
_cell_angle_gamma 90.00
_symmetry_space_group_name_H-M 'F m -3 m'
_symmetry_Int_Tables_number 225
_symmetry_space_group_name_Hall '-F 4 2 3'
loop_
_atom_site_label
_atom_site_type_symbol
_atom_site_fract_x
_atom_site_fract_y
_atom_site_fract_z
Rb1 Rb 0.250 0.250 0.250
Zn1 Zn 0.000 0.000 0.000
Sn1 Sn 0.000 0.000 0.500
Br1 Br 0.000 0.000 0.237


[6]
# RbZnSnBr5 PBE relaxed
# - Uncorrected formation energy: -1.065 eV/atom
# - VASP energy: -2.891 eV per atom
data_RbZnSnBr5
_cell_length_a 9.778
_cell_length_b 12.912
_cell_length_c 10.649
_cell_angle_alpha 90.00
_cell_angle_beta 114.42
_cell_angle_gamma 90.00
_symmetry_space_group_name_H-M 'C 1 2/c 1'
_symmetry_Int_Tables_number 15
_symmetry_space_group_name_Hall '-C 2yc'
loop_
_atom_site_label
_atom_site_type_symbol
_atom_site_fract_x
_atom_site_fract_y
_atom_site_fract_z
Rb1 Rb 0.000 0.151 0.250
Zn1 Zn 0.000 0.185 0.750
Sn1 Sn 0.000 0.500 0.000
Br1 Br 0.000 0.412 0.250
Br2 Br 0.116 0.287 0.626
Br3 Br 0.177 0.072 0.931


[7]
# RbSr2Br5 PBE relaxed
# - Uncorrected formation energy: -2.042 eV/atom
# - Energy relative to the lowest polymorph listed for this composition: 0.0000 eV/atom
# - VASP energy: -3.629 eV per atom
data_RbSr2Br5
_cell_length_a 9.565
_cell_length_b 8.478
_cell_length_c 13.582
_cell_angle_alpha 90.00
_cell_angle_beta 90.18
_cell_angle_gamma 90.00
_symmetry_space_group_name_H-M 'P 1 21/c 1'
_symmetry_Int_Tables_number 14
_symmetry_space_group_name_Hall '-P 2ybc'
loop_
_atom_site_label
_atom_site_type_symbol
_atom_site_fract_x
_atom_site_fract_y
_atom_site_fract_z
Rb1 Rb 0.010 0.052 0.332
Sr1 Sr 0.253 0.566 0.494
Sr2 Sr 0.498 0.523 0.178
Br1 Br 0.034 0.172 0.082
Br2 Br 0.274 0.690 0.715
Br3 Br 0.287 0.166 0.817
Br4 Br 0.289 0.548 0.997
Br5 Br 0.462 0.160 0.101


[8]
# Rb2SrBr2 PBE relaxed
# - Uncorrected formation energy: -1.175 eV/atom
# - VASP energy: -2.568 eV per atom
data_Rb2SrBr2
_cell_length_a 9.156
_cell_length_b 9.156
_cell_length_c 5.178
_cell_angle_alpha 90.00
_cell_angle_beta 90.00
_cell_angle_gamma 90.00
_symmetry_space_group_name_H-M 'P 4/m b m'
_symmetry_Int_Tables_number 127
_symmetry_space_group_name_Hall '-P 4 2ab'
loop_
_atom_site_label
_atom_site_type_symbol
_atom_site_fract_x
_atom_site_fract_y
_atom_site_fract_z
Rb1 Rb 0.152 0.348 0.000
Sr1 Sr 0.000 0.000 0.500
Br1 Br 0.163 0.663 0.500


[9]
# RbSr2Br PBE relaxed
# - Uncorrected formation energy: -0.194 eV/atom
# - Energy relative to the lowest polymorph listed for this composition: 0.4025 eV/atom
# - VASP energy: -1.695 eV per atom
data_RbSr2Br
_cell_length_a 9.510
_cell_length_b 9.510
_cell_length_c 9.510
_cell_angle_alpha 90.00
_cell_angle_beta 90.00
_cell_angle_gamma 90.00
_symmetry_space_group_name_H-M 'F m -3 m'
_symmetry_Int_Tables_number 225
_symmetry_space_group_name_Hall '-F 4 2 3'
loop_
_atom_site_label
_atom_site_type_symbol
_atom_site_fract_x
_atom_site_fract_y
_atom_site_fract_z
Rb1 Rb 0.000 0.000 0.000
Sr1 Sr 0.250 0.250 0.250
Br1 Br 0.000 0.000 0.500


[10]
# RbSr2Br5 PBE relaxed
# - Uncorrected formation energy: -2.016 eV/atom
# - Energy relative to the lowest polymorph listed for this composition: 0.0254 eV/atom
# - VASP energy: -3.603 eV per atom
data_RbSr2Br5
_cell_length_a 4.704
_cell_length_b 7.745
_cell_length_c 16.235
_cell_angle_alpha 90.00
_cell_angle_beta 90.00
_cell_angle_gamma 90.00
_symmetry_space_group_name_H-M 'I m m m'
_symmetry_Int_Tables_number 71
_symmetry_space_group_name_Hall '-I 2 2'
loop_
_atom_site_label
_atom_site_type_symbol
_atom_site_fract_x
_atom_site_fract_y
_atom_site_fract_z
Rb1 Rb 0.000 0.000 0.000
Sr1 Sr 0.000 0.500 0.185
Br1 Br 0.000 0.263 0.345
Br2 Br 0.000 0.500 0.000


[11]
# Rb2SrBr7 PBE relaxed
# - Uncorrected formation energy: -1.141 eV/atom
# - VASP energy: -2.674 eV per atom
data_Rb2SrBr7
_cell_length_a 8.874
_cell_length_b 8.874
_cell_length_c 11.114
_cell_angle_alpha 90.00
_cell_angle_beta 90.00
_cell_angle_gamma 90.00
_symmetry_space_group_name_H-M 'I 4/m m m'
_symmetry_Int_Tables_number 139
_symmetry_space_group_name_Hall '-I 4 2'
loop_
_atom_site_label
_atom_site_type_symbol
_atom_site_fract_x
_atom_site_fract_y
_atom_site_fract_z
Rb1 Rb 0.000 0.500 0.250
Sr1 Sr 0.000 0.000 0.000
Br1 Br 0.000 0.000 0.275
Br2 Br 0.000 0.000 0.500
Br3 Br 0.235 0.235 0.000


[12]
# RbSr2Br2 PBE relaxed
# - Uncorrected formation energy: -0.812 eV/atom
# - Energy relative to the lowest polymorph listed for this composition: 0.3213 eV/atom
# - VASP energy: -2.347 eV per atom
data_RbSr2Br2
_cell_length_a 5.938
_cell_length_b 5.938
_cell_length_c 7.720
_cell_angle_alpha 90.00
_cell_angle_beta 90.00
_cell_angle_gamma 90.00
_symmetry_space_group_name_H-M 'P 4/m m m'
_symmetry_Int_Tables_number 123
_symmetry_space_group_name_Hall '-P 4 2'
loop_
_atom_site_label
_atom_site_type_symbol
_atom_site_fract_x
_atom_site_fract_y
_atom_site_fract_z
Rb1 Rb 0.000 0.000 0.000
Sr1 Sr 0.000 0.500 0.500
Br1 Br 0.500 0.500 0.000
Br2 Br 0.500 0.500 0.500


Question: What is the uncorrected formation energy in the first record?
Answer: -1.513 eV/atom


Please write out number 12 again, unchanged.
# RbSr2Br2 PBE relaxed
# - Uncorrected formation energy: -0.812 eV/atom
# - Energy relative to the lowest polymorph listed for this composition: 0.3213 eV/atom
# - VASP energy: -2.347 eV per atom
data_RbSr2Br2
_cell_length_a 5.938
_cell_length_b 5.938
_cell_length_c 7.720
_cell_angle_alpha 90.00
_cell_angle_beta 90.00
_cell_angle_gamma 90.00
_symmetry_space_group_name_H-M 'P 4/m m m'
_symmetry_Int_Tables_number 123
_symmetry_space_group_name_Hall '-P 4 2'
loop_
_atom_site_label
_atom_site_type_symbol
_atom_site_fract_x
_atom_site_fract_y
_atom_site_fract_z
Rb1 Rb 0.000 0.000 0.000
Sr1 Sr 0.000 0.500 0.500
Br1 Br 0.500 0.500 0.000
Br2 Br 0.500 0.500 0.500


Question: What is the formula in the first record?
Answer: RbYSnBr6


Question: Which value of VASP energy does entry 10 give?
Answer: -3.603 eV per atom